No. 1
Entry from Alexandria via LeMat-Bulk: a relaxed structure of PrGaCo4 (GGA-PBE).

```
data_PrGaCo4
_cell_length_a 7.0602
_cell_length_b 7.0602
_cell_length_c 7.0602
_cell_angle_alpha 90.00
_cell_angle_beta 90.00
_cell_angle_gamma 90.00
_space_group_name_H-M_alt 'F -4 3 m'
_space_group_IT_number 216
_space_group_name_Hall 'F -4 2 3'
loop_
_atom_site_label
_atom_site_type_symbol
_atom_site_fract_x
_atom_site_fract_y
_atom_site_fract_z
Pr1 Pr 0.0000 0.0000 0.0000
Ga1 Ga 0.2500 0.2500 0.2500
Co1 Co 0.1233 0.1233 0.6233
```

- DOS at the Fermi energy: 36.204 states/eV per cell
- E_form: -0.0373 eV/atom
- DFT total energy: -6.0756 eV per atom

=====

No. 2
Entry from Alexandria via LeMat-Bulk: a relaxed structure of Li2GaNi8 (GGA-PBE).

```
data_Li2GaNi8
_cell_length_a 7.1438
_cell_length_b 9.2132
_cell_length_c 3.8484
_cell_angle_alpha 90.00
_cell_angle_beta 90.13
_cell_angle_gamma 90.00
_space_group_name_H-M_alt 'C 1 2/m 1'
_space_group_IT_number 12
loop_
_space_group_symop_operation_xyz
'x,y,z'
'-x,-y,-z'
'-x,y,-z'
'x,-y,z'
'x+1/2,y+1/2,z'
'-x+1/2,-y+1/2,-z'
'-x+1/2,y+1/2,-z'
'x+1/2,-y+1/2,z'
loop_
_atom_site_label
_atom_site_type_symbol
_atom_site_fract_x
_atom_site_fract_y
_atom_site_fract_z
Li1 Li 0.0000 0.1164 0.0000
Ga1 Ga 0.0000 0.5000 0.5000
Ni1 Ni 0.0000 0.2404 0.5000
Ni2 Ni 0.1685 0.0000 0.4990
Ni3 Ni 0.1711 0.3653 0.0013
```

- DOS at the Fermi energy: 25.797 states/eV per cell
- E_form: 0.1224 eV/atom
- DFT total energy: -4.7054 eV per atom